[1]
{"formula": "AcAs3Ru", "functional": "PBE", "state": "relaxed", "total_magnetization_mub_per_cell": 0.02, "spacegroup": "Pm-3m, No. 221", "cell": [[4.904, 0.000, 0.000], [0.000, 4.904, 0.000], [0.000, 0.000, 4.904]], "species": ["Ru", "Ac", "As", "As", "As"], "frac_coords": [[0.000, 0.000, 0.000], [0.500, 0.500, 0.500], [0.000, 0.500, 0.000], [0.000, 0.000, 0.500], [0.500, 0.000, 0.000]]}

---

[2]
{"formula": "Ac3AsRu", "functional": "PBE", "state": "relaxed", "total_magnetization_mub_per_cell": 0.00, "spacegroup": "Pm-3m, No. 221", "cell": [[-1.346, -4.946, 2.338], [-1.371, -2.027, -5.075], [5.296, -1.781, -0.719]], "species": ["Ru", "Ac", "Ac", "Ac", "As"], "frac_coords": [[0.000, 0.000, 0.000], [0.000, 0.500, 0.000], [0.000, 0.000, 0.500], [0.500, 0.000, 0.000], [0.500, 0.500, 0.500]]}

---

[3]
{"formula": "AcAs12Ru4", "functional": "PBE", "state": "relaxed", "total_magnetization_mub_per_cell": 0.00, "spacegroup": "Im-3, No. 204", "cell": [[-0.580, -6.832, -2.977], [5.036, -0.108, 5.523], [-6.637, 2.104, 2.721]], "species": ["Ac", "As", "As", "As", "As", "As", "As", "As", "As", "As", "As", "As", "As", "Ru", "Ru", "Ru", "Ru"], "frac_coords": [[0.000, 0.000, 0.000], [0.849, 0.351, 0.200], [0.351, 0.502, 0.151], [0.800, 0.151, 0.649], [0.351, 0.200, 0.849], [0.200, 0.849, 0.351], [0.649, 0.498, 0.849], [0.502, 0.151, 0.351], [0.498, 0.849, 0.649], [0.649, 0.800, 0.151], [0.849, 0.649, 0.498], [0.151, 0.351, 0.503], [0.151, 0.649, 0.800], [0.000, 0.500, 0.000], [0.500, 0.000, 0.000], [0.500, 0.500, 0.500], [0.000, 0.000, 0.500]]}

---

Across the entries above, calculated formation energy takes the values -0.27, -0.30, -0.49 eV per atom, respectively.